No. 1
Computed, not measured: an optimized crystal structure of Sm5HoTl4 at the GGA-PBE level of DFT.

Geometry as extended XYZ:
```
10
Lattice="-0.5664 2.7859 2.3249 -0.3514 -2.3841 2.7713 21.7013 1.2314 3.8111" Properties=species:S:1:pos:R:3 pbc="T T T"
Sm 1.9880 0.3397 2.9778
Sm 6.1772 0.5775 3.7135
Sm 10.3918 0.8166 4.4537
Sm 14.6063 1.0557 5.1938
Sm 18.7955 1.2935 5.9295
Ho 0.0000 0.0000 0.0000
Tl 4.5358 0.2574 0.7966
Tl 8.7456 0.4963 1.5359
Tl 12.9557 0.7352 2.2752
Tl 17.1655 0.9740 3.0145
```

Results
The calculation puts the energy of formation from the pure elements at -0.2877 eV/atom. For the density of states at the Fermi level, the calculation gives 11.9 states/eV/cell. The calculation puts the calculated volume at 298 Å³/cell.

No. 2
Computed, not measured: an optimized crystal structure of Sm2HoTl2 at the GGA-PBE level of DFT.

Geometry as extended XYZ:
```
5
Lattice="-4.0531 1.8256 -1.9841 -3.3462 -4.2217 -3.0206 -5.1209 -1.4989 3.1101" Properties=species:S:1:pos:R:3 pbc="T T T"
Sm -3.3804 -1.4018 -0.3560
Sm -9.1398 -2.4932 -1.5385
Ho 0.0000 0.0000 0.0000
Tl -6.6507 -1.3482 0.4021
Tl -5.8695 -2.5468 -2.2966
```

Results
The value obtained for the excess energy over the best structure of this formula in the dataset is 10 meV per atom. The calculation puts the energy of formation from the pure elements at -0.2727 eV/atom. For the density of states at the Fermi level, the calculation gives 6.1 states/eV/cell. The calculation puts the calculated volume at 152 Å³/cell.

No. 3
Computed, not measured: an optimized crystal structure of Sm2Ho4Tl at the GGA-PBE level of DFT.

Geometry as extended XYZ:
```
14
Lattice="5.8101 0.0000 -0.4238 0.0000 6.6708 0.0000 -2.3261 0.0000 11.3405" Properties=species:S:1:pos:R:3 pbc="T T T"
Sm 3.2551 5.0031 0.0273
Sm 0.2289 1.6677 10.8894
Sm 0.5467 1.6677 4.7717
Sm 2.9372 5.0031 6.1450
Ho 2.9680 3.2753 2.9983
Ho 3.6917 5.0031 9.4247
Ho -0.2077 1.6677 1.4920
Ho 2.9680 0.0601 2.9983
Ho 3.6407 1.6677 6.0972
Ho 0.5160 6.6107 7.9184
Ho 0.5160 3.3955 7.9184
Ho -0.1568 5.0031 4.8195
Tl 0.4079 5.0031 1.7425
Tl 3.0760 1.6677 9.1742
```

Results
The value obtained for the excess energy over the best structure of this formula in the dataset is 48 meV per atom. The calculation puts the energy of formation from the pure elements at -0.0013 eV/atom. For the density of states at the Fermi level, the calculation gives 17.0 states/eV/cell. The calculation puts the calculated volume at 433 Å³/cell.

No. 4
Computed, not measured: an optimized crystal structure of Sm4Ho2Tl at the GGA-PBE level of DFT.

Geometry as extended XYZ:
```
7
Lattice="-2.8396 0.1283 -2.1017 -4.8319 -1.7178 6.4235 -0.7882 8.0324 1.5551" Properties=species:S:1:pos:R:3 pbc="T T T"
Sm -4.7780 5.3789 0.8449
Sm -6.5144 1.1920 2.9355
Sm -1.6068 1.8017 2.2737
Sm -4.0202 4.5133 5.6999
Ho -1.8139 4.0803 -0.2733
Ho -3.8357 -0.7948 2.1609
Tl 0.0000 0.0000 0.0000
```

Results
The value obtained for the excess energy over the best structure of this formula in the dataset is 0 meV per atom. The calculation puts the energy of formation from the pure elements at 0.2323 eV/atom. For the density of states at the Fermi level, the calculation gives 10.7 states/eV/cell. The calculation puts the calculated volume at 239 Å³/cell.

No. 5
Computed, not measured: an optimized crystal structure of Sm2HoTl9 at the GGA-PBE level of DFT.

Geometry as extended XYZ:
```
12
Lattice="4.7906 0.0000 0.0000 0.0000 4.7906 0.0000 0.0000 0.0000 14.3742" Properties=species:S:1:pos:R:3 pbc="T T T"
Sm 0.0000 0.0000 4.7805
Sm 0.0000 0.0000 9.5937
Ho 0.0000 0.0000 0.0000
Tl 2.3953 2.3953 0.0000
Tl 2.3953 2.3953 4.7817
Tl 2.3953 2.3953 9.5925
Tl 2.3953 0.0000 2.3629
Tl 2.3953 0.0000 7.1871
Tl 2.3953 0.0000 12.0113
Tl 0.0000 2.3953 2.3629
Tl 0.0000 2.3953 7.1871
Tl 0.0000 2.3953 12.0113
```

Results
The calculation puts the energy of formation from the pure elements at -0.2689 eV/atom. For the density of states at the Fermi level, the calculation gives 3.7 states/eV/cell. The calculation puts the calculated volume at 330 Å³/cell.

No. 6
Computed, not measured: an optimized crystal structure of Sm6HoTl3 at the GGA-PBE level of DFT.

Geometry as extended XYZ:
```
20
Lattice="5.2000 0.0000 0.0000 0.0000 10.2388 -2.1591 0.0000 0.9288 11.3473" Properties=species:S:1:pos:R:3 pbc="T T T"
Sm 1.3000 4.7156 0.1131
Sm 3.9000 6.4520 9.0750
Sm 1.3000 1.6621 2.2086
Sm 3.9000 9.5055 6.9796
Sm 1.3000 7.1594 6.4281
Sm 3.9000 4.0082 2.7600
Sm 1.3000 3.2481 5.2804
Sm 3.9000 7.9195 3.9077
Sm 1.3000 8.7031 1.4050
Sm 3.9000 2.4645 7.7832
Sm 1.3000 1.5383 10.1688
Sm 3.9000 9.6293 -0.9806
Ho 1.3000 10.2992 4.6781
Ho 3.9000 0.8684 4.5101
Tl 1.3000 5.9506 3.2371
Tl 3.9000 5.2170 5.9511
Tl 1.3000 4.4244 8.4196
Tl 3.9000 6.7432 0.7686
Tl 1.3000 8.6424 9.3779
Tl 3.9000 2.5251 -0.1898
```

Results
The calculation puts the energy of formation from the pure elements at -0.1933 eV/atom. For the density of states at the Fermi level, the calculation gives 25.3 states/eV/cell. The calculation puts the calculated volume at 615 Å³/cell.

No. 7
Computed, not measured: an optimized crystal structure of Sm6Ho8Tl at the GGA-PBE level of DFT.

Geometry as extended XYZ:
```
15
Lattice="-4.5799 1.6946 -4.6001 2.8877 -6.9349 -5.4296 -6.7496 -1.4574 6.1831" Properties=species:S:1:pos:R:3 pbc="T T T"
Sm -1.3330 -3.8176 -6.0005
Sm -4.1830 -6.2437 -4.0568
Sm -3.7735 -2.1892 -2.9709
Sm -7.1088 -2.8801 2.1538
Sm -4.2589 -0.4540 0.2102
Sm -4.6683 -4.5085 -0.8758
Ho -3.3356 -5.7778 -7.5129
Ho -6.6314 -4.2453 -3.6671
Ho -3.2322 -0.7807 -5.7751
Ho -5.1062 -0.9199 3.6663
Ho -1.8104 -2.4524 -0.1796
Ho -5.2096 -5.9169 1.9284
Ho -7.3292 -1.8802 -1.4965
Ho -1.1127 -4.8175 -2.3501
Tl -2.2899 0.8473 -2.3001
```

Results
The calculation puts the energy of formation from the pure elements at 0.2042 eV/atom. For the density of states at the Fermi level, the calculation gives 21.1 states/eV/cell. The calculation puts the calculated volume at 499 Å³/cell.

No. 8
Computed, not measured: an optimized crystal structure of Sm2HoTl3 at the GGA-PBE level of DFT.

Geometry as extended XYZ:
```
6
Lattice="-0.7414 3.7082 0.3591 -1.5748 0.0199 -3.4567 -10.4321 -2.5445 4.7381" Properties=species:S:1:pos:R:3 pbc="T T T"
Sm -9.8118 -0.2467 2.3816
Sm -2.9364 1.4303 -0.7411
Ho -6.3741 0.5918 0.8202
Tl 0.0000 0.0000 0.0000
Tl -6.8739 -1.6766 3.1220
Tl -3.5581 -0.8679 1.6160
```

Results
The value obtained for the excess energy over the best structure of this formula in the dataset is 0 meV per atom. The calculation puts the energy of formation from the pure elements at -0.3662 eV/atom. For the density of states at the Fermi level, the calculation gives 4.6 states/eV/cell. The calculation puts the calculated volume at 169 Å³/cell.